## LiPbSe (PBE-GGA)

Data for a geometry-optimized LiPbSe structure.

CIF file:
```
data_LiPbSe
_cell_length_a 3.743
_cell_length_b 3.792
_cell_length_c 5.108
_cell_angle_alpha 90.00
_cell_angle_beta 90.00
_cell_angle_gamma 90.00
_space_group_name_H-M_alt 'P m m m'
_space_group_IT_number 47
_space_group_name_Hall '-P 2 2'
loop_
_atom_site_label
_atom_site_type_symbol
_atom_site_fract_x
_atom_site_fract_y
_atom_site_fract_z
Li1 Li 0.000 0.000 0.000
Pb1 Pb 0.000 0.500 0.500
Se1 Se 0.500 0.500 0.000
```

Calculated values
Magnetic moment, μB/f.u.: 0.00
Theoretical density, g/cm3: 6.712
Relative energy among the computed polymorphs, meV per atom: 0
Formation energy (no corrections), eV per atom: -0.587